# MgNiWBr2, relaxed, DFT PBE
data_MgNiWBr2
_chemical_formula_sum 'Mg1 Ni1 W1 Br2'
_symmetry_space_group_name_H-M 'P 4/m m m'
_symmetry_Int_Tables_number 123
_symmetry_space_group_name_Hall '-P 4 2'
_cell_length_a 4.881
_cell_length_b 4.881
_cell_length_c 4.873
_cell_angle_alpha 90.00
_cell_angle_beta 90.00
_cell_angle_gamma 90.00
loop_
_atom_site_label
_atom_site_type_symbol
_atom_site_fract_x
_atom_site_fract_y
_atom_site_fract_z
Mg1 Mg 0.000 0.000 0.000
Ni1 Ni 0.500 0.500 0.500
W1 W 0.500 0.500 0.000
Br1 Br 0.000 0.500 0.500
# - Crystal system: tetragonal
# - Raw formation energy: 0.9492 eV/atom



# MgNpBr6, relaxed, DFT PBE
data_MgNpBr6
_chemical_formula_sum 'Mg3 Np3 Br18'
_symmetry_space_group_name_H-M 'R -3'
_symmetry_Int_Tables_number 148
_symmetry_space_group_name_Hall '-R 3'
_cell_length_a 6.9331
_cell_length_b 6.9331
_cell_length_c 18.8729
_cell_angle_alpha 90.00
_cell_angle_beta 90.00
_cell_angle_gamma 120.00
loop_
_atom_site_label
_atom_site_type_symbol
_atom_site_fract_x
_atom_site_fract_y
_atom_site_fract_z
Mg1 Mg 0.0000 0.0000 0.0000
Np1 Np 0.0000 0.0000 0.5000
Br1 Br 0.0040 0.6516 0.7484
# - Crystal system: trigonal
# - Raw formation energy: -1.2608 eV/atom
# - Distance to the lowest polymorph of the same formula: 19.9 meV/atom



# MgNp2Br8, relaxed, DFT PBE
data_MgNp2Br8
_chemical_formula_sum 'Mg2 Np4 Br16'
_symmetry_space_group_name_H-M 'C 1 2/m 1'
_symmetry_Int_Tables_number 12
_cell_length_a 14.573
_cell_length_b 8.906
_cell_length_c 7.426
_cell_angle_alpha 90.00
_cell_angle_beta 113.01
_cell_angle_gamma 90.00
loop_
_symmetry_equiv_pos_as_xyz
'x,y,z'
'-x,-y,-z'
'-x,y,-z'
'x,-y,z'
'x+1/2,y+1/2,z'
'-x+1/2,-y+1/2,-z'
'-x+1/2,y+1/2,-z'
'x+1/2,-y+1/2,z'
loop_
_atom_site_label
_atom_site_type_symbol
_atom_site_fract_x
_atom_site_fract_y
_atom_site_fract_z
Mg1 Mg 0.000 0.000 0.000
Np1 Np 0.123 0.000 0.558
Br1 Br 0.030 0.204 0.753
Br2 Br 0.187 0.500 0.188
Br3 Br 0.190 0.000 0.243
# - Crystal system: monoclinic
# - Raw formation energy: -1.2296 eV/atom



Copy entry 3 word for word.
# MgNp2Br8, relaxed, DFT PBE
data_MgNp2Br8
_chemical_formula_sum 'Mg2 Np4 Br16'
_symmetry_space_group_name_H-M 'C 1 2/m 1'
_symmetry_Int_Tables_number 12
_cell_length_a 14.573
_cell_length_b 8.906
_cell_length_c 7.426
_cell_angle_alpha 90.00
_cell_angle_beta 113.01
_cell_angle_gamma 90.00
loop_
_symmetry_equiv_pos_as_xyz
'x,y,z'
'-x,-y,-z'
'-x,y,-z'
'x,-y,z'
'x+1/2,y+1/2,z'
'-x+1/2,-y+1/2,-z'
'-x+1/2,y+1/2,-z'
'x+1/2,-y+1/2,z'
loop_
_atom_site_label
_atom_site_type_symbol
_atom_site_fract_x
_atom_site_fract_y
_atom_site_fract_z
Mg1 Mg 0.000 0.000 0.000
Np1 Np 0.123 0.000 0.558
Br1 Br 0.030 0.204 0.753
Br2 Br 0.187 0.500 0.188
Br3 Br 0.190 0.000 0.243
# - Crystal system: monoclinic
# - Raw formation energy: -1.2296 eV/atom



- Among the records above, which one has the highest raw formation energy?
  MgNiWBr2



- What is the raw formation energy in the third record?
  -1.2296 eV/atom